Entry 1:
{
  "formula": "La3AgF",
  "functional": "GGA-PBEsol",
  "state": "optimized geometry",
  "formation_energy_uncorrected_ev_per_atom": -0.971,
  "spacegroup": "Pm-3m, No. 221",
  "total_energy_ev_per_atom": -5.23,
  "vol_a3_per_atom": 25.1,
  "e_above_lowest_polymorph_ev_per_atom": 0.0000,
  "rho_g_cm3": 7.2,
  "lattice_angstrom": [[5.0067, 0.0000, 0.0000], [0.0000, 5.0067, 0.0000], [0.0000, 0.0000, 5.0067]],
  "species": ["La", "La", "La", "Ag", "F"],
  "fractional_positions": [[0.0000, 0.0000, 0.5000], [0.0000, 0.5000, 0.0000], [0.5000, 0.0000, 0.0000], [0.5000, 0.5000, 0.5000], [0.0000, 0.0000, 0.0000]]
}

=====

Entry 2:
{
  "formula": "Mg2TlTe",
  "functional": "GGA-PBEsol",
  "state": "optimized geometry",
  "formation_energy_uncorrected_ev_per_atom": -0.207,
  "spacegroup": "Pmmm, No. 47",
  "total_energy_ev_per_atom": -2.60,
  "vol_a3_per_atom": 25.1,
  "e_above_lowest_polymorph_ev_per_atom": 0.0426,
  "rho_g_cm3": 6.3,
  "lattice_angstrom": [[4.0127, 0.0000, 0.0000], [0.0000, 4.5287, 0.0000], [0.0000, 0.0000, 5.5192]],
  "species": ["Mg", "Mg", "Tl", "Te"],
  "fractional_positions": [[0.0000, 0.0000, 0.0000], [0.0000, 0.5000, 0.5000], [0.5000, 0.0000, 0.5000], [0.5000, 0.5000, 0.0000]]
}

=====

Entry 3:
{
  "formula": "KCdAs",
  "functional": "GGA-PBEsol",
  "state": "optimized geometry",
  "spacegroup": "I4mm, No. 107",
  "delta_e_f_ev_per_atom": -0.092,
  "total_energy_ev_per_atom": -2.57,
  "vol_a3_per_atom": 29.7,
  "rho_g_cm3": 4.2,
  "lattice_angstrom": [[-1.9457, 1.9457, 5.8783], [1.9457, -1.9457, 5.8783], [1.9457, 1.9457, -5.8783]],
  "species": ["K", "Cd", "As"],
  "fractional_positions": [[0.0000, 0.0000, 0.0000], [0.7340, 0.7340, 0.0000], [0.2731, 0.2731, 0.0000]]
}

=====

Entry 4:
{
  "formula": "Tm2InCu2",
  "functional": "GGA-PBEsol",
  "state": "optimized geometry",
  "spacegroup": "P4/mbm, No. 127",
  "delta_e_f_ev_per_atom": -0.421,
  "total_energy_ev_per_atom": -4.71,
  "vol_a3_per_atom": 19.5,
  "rho_g_cm3": 9.9,
  "lattice_angstrom": [[7.3097, 0.0000, 0.0000], [0.0000, 7.3097, 0.0000], [0.0000, 0.0000, 3.6440]],
  "species": ["Tm", "Tm", "Tm", "Tm", "In", "In", "Cu", "Cu", "Cu", "Cu"],
  "fractional_positions": [[0.1717, 0.3283, 0.0000], [0.3283, 0.8283, 0.0000], [0.6717, 0.1717, 0.0000], [0.8283, 0.6717, 0.0000], [0.0000, 0.0000, 0.5000], [0.5000, 0.5000, 0.5000], [0.1217, 0.6217, 0.5000], [0.3783, 0.1217, 0.5000], [0.6217, 0.8783, 0.5000], [0.8783, 0.3783, 0.5000]]
}

=====

Entry 5:
{
  "formula": "Co3AsCl",
  "functional": "GGA-PBEsol",
  "state": "optimized geometry",
  "formation_energy_uncorrected_ev_per_atom": 0.781,
  "spacegroup": "Pm-3m, No. 221",
  "total_energy_ev_per_atom": -5.28,
  "vol_a3_per_atom": 13.5,
  "rho_g_cm3": 7.0,
  "lattice_angstrom": [[4.0762, 0.0000, 0.0000], [0.0000, 4.0762, 0.0000], [0.0000, 0.0000, 4.0762]],
  "species": ["Co", "Co", "Co", "As", "Cl"],
  "fractional_positions": [[0.0000, 0.0000, 0.5000], [0.0000, 0.5000, 0.0000], [0.5000, 0.0000, 0.0000], [0.5000, 0.5000, 0.5000], [0.0000, 0.0000, 0.0000]]
}

=====

Entry 6:
{
  "formula": "TaCl4F",
  "functional": "GGA-PBEsol",
  "state": "optimized geometry",
  "formation_energy_uncorrected_ev_per_atom": -1.709,
  "spacegroup": "I-4, No. 82",
  "total_energy_ev_per_atom": -5.46,
  "vol_a3_per_atom": 28.1,
  "rho_g_cm3": 3.4,
  "lattice_angstrom": [[-6.4095, 6.4095, 4.1091], [6.4095, -6.4095, 4.1091], [6.4095, 6.4095, -4.1091]],
  "species": ["Ta", "Ta", "Ta", "Ta", "Cl", "Cl", "Cl", "Cl", "Cl", "Cl", "Cl", "Cl", "Cl", "Cl", "Cl", "Cl", "Cl", "Cl", "Cl", "Cl", "F", "F", "F", "F"],
  "fractional_positions": [[0.0304, 0.7605, 0.8227], [0.2395, 0.0623, 0.2700], [0.7923, 0.9696, 0.7300], [0.9377, 0.2077, 0.1773], [0.0259, 0.3278, 0.4235], [0.1050, 0.2469, 0.7746], [0.1748, 0.6661, 0.8920], [0.2227, 0.4776, 0.1728], [0.3048, 0.0499, 0.8272], [0.3339, 0.2259, 0.5087], [0.3976, 0.9741, 0.3019], [0.4723, 0.3304, 0.2254], [0.5224, 0.6952, 0.7451], [0.6696, 0.8950, 0.1419], [0.6722, 0.0957, 0.6981], [0.7172, 0.8252, 0.4913], [0.7531, 0.5277, 0.8581], [0.7741, 0.2828, 0.1080], [0.9043, 0.6024, 0.5765], [0.9501, 0.7773, 0.2549], [0.0785, 0.1210, 0.2054], [0.1269, 0.9215, 0.0425], [0.8790, 0.0844, 0.9575], [0.9156, 0.8731, 0.7946]]
}

=====

Entry 7:
{
  "formula": "K2ZnPt",
  "functional": "GGA-PBEsol",
  "state": "optimized geometry",
  "spacegroup": "R-3m, No. 166",
  "delta_e_f_ev_per_atom": 0.459,
  "total_energy_ev_per_atom": -2.24,
  "vol_a3_per_atom": 23.2,
  "rho_g_cm3": 6.1,
  "lattice_angstrom": [[1.5631, 0.9025, 10.9698], [-1.5631, 0.9025, 10.9698], [0.0000, -1.8050, 10.9698]],
  "species": ["K", "K", "Zn", "Pt"],
  "fractional_positions": [[0.2430, 0.2430, 0.2430], [0.7570, 0.7570, 0.7570], [0.0000, 0.0000, 0.0000], [0.5000, 0.5000, 0.5000]]
}

=====

Entry 8:
{
  "formula": "KAl2SiTe",
  "functional": "GGA-PBEsol",
  "state": "optimized geometry",
  "formation_energy_uncorrected_ev_per_atom": 0.949,
  "spacegroup": "P4/mmm, No. 123",
  "total_energy_ev_per_atom": -2.77,
  "vol_a3_per_atom": 33.8,
  "rho_g_cm3": 2.4,
  "lattice_angstrom": [[5.3147, 0.0000, 0.0000], [0.0000, 5.3147, 0.0000], [0.0000, 0.0000, 5.9825]],
  "species": ["K", "Al", "Al", "Si", "Te"],
  "fractional_positions": [[0.0000, 0.0000, 0.0000], [0.0000, 0.5000, 0.5000], [0.5000, 0.0000, 0.5000], [0.5000, 0.5000, 0.0000], [0.0000, 0.0000, 0.5000]]
}

=====

Entry 9:
{
  "formula": "Ag2IrBr",
  "functional": "GGA-PBEsol",
  "state": "optimized geometry",
  "formation_energy_uncorrected_ev_per_atom": 0.538,
  "spacegroup": "P4/mmm, No. 123",
  "total_energy_ev_per_atom": -4.04,
  "vol_a3_per_atom": 18.1,
  "e_above_lowest_polymorph_ev_per_atom": 0.0000,
  "rho_g_cm3": 11.2,
  "lattice_angstrom": [[2.8354, 0.0000, 0.0000], [0.0000, 2.8354, 0.0000], [0.0000, 0.0000, 9.0022]],
  "species": ["Ag", "Ag", "Ir", "Br"],
  "fractional_positions": [[0.0000, 0.0000, 0.2186], [0.0000, 0.0000, 0.7814], [0.5000, 0.5000, 0.0000], [0.5000, 0.5000, 0.5000]]
}

=====

Entry 10:
{
  "formula": "BaPrMn2O6",
  "functional": "GGA-PBEsol",
  "state": "optimized geometry",
  "formation_energy_uncorrected_ev_per_atom": -2.441,
  "spacegroup": "P4/mmm, No. 123",
  "total_energy_ev_per_atom": -8.28,
  "vol_a3_per_atom": 11.6,
  "rho_g_cm3": 6.9,
  "lattice_angstrom": [[3.8681, 0.0000, 0.0000], [0.0000, 3.8681, 0.0000], [0.0000, 0.0000, 7.7384]],
  "species": ["Ba", "Pr", "Mn", "Mn", "O", "O", "O", "O", "O", "O"],
  "fractional_positions": [[0.0000, 0.0000, 0.0000], [0.0000, 0.0000, 0.5000], [0.5000, 0.5000, 0.2530], [0.5000, 0.5000, 0.7470], [0.0000, 0.5000, 0.2720], [0.0000, 0.5000, 0.7280], [0.5000, 0.0000, 0.2720], [0.5000, 0.0000, 0.7280], [0.5000, 0.5000, 0.0000], [0.5000, 0.5000, 0.5000]]
}

=====

Entry 11:
{
  "formula": "CaMg2Au2",
  "functional": "GGA-PBEsol",
  "state": "optimized geometry",
  "spacegroup": "I4/mmm, No. 139",
  "delta_e_f_ev_per_atom": -0.598,
  "total_energy_ev_per_atom": -3.28,
  "vol_a3_per_atom": 21.9,
  "e_above_lowest_polymorph_ev_per_atom": 0.0000,
  "rho_g_cm3": 7.3,
  "lattice_angstrom": [[-2.1024, 2.1024, 6.1878], [2.1024, -2.1024, 6.1878], [2.1024, 2.1024, -6.1878]],
  "species": ["Ca", "Mg", "Mg", "Au", "Au"],
  "fractional_positions": [[0.0000, 0.0000, 0.0000], [0.2500, 0.7500, 0.5000], [0.7500, 0.2500, 0.5000], [0.3905, 0.3905, 0.0000], [0.6095, 0.6095, 0.0000]]
}